CeMnAs2O8: relaxed, PBE+U.

```
data_CeMnAs2O8
_chemical_formula_sum 'Ce1 Mn1 As2 O8'
_symmetry_space_group_name_H-M 'P 1'
_symmetry_Int_Tables_number 1
_cell_length_a 5.957
_cell_length_b 5.957
_cell_length_c 5.957
_cell_angle_alpha 106.73
_cell_angle_beta 106.73
_cell_angle_gamma 115.10
loop_
_symmetry_equiv_pos_as_xyz
'x,y,z'
loop_
_atom_site_label
_atom_site_type_symbol
_atom_site_fract_x
_atom_site_fract_y
_atom_site_fract_z
_atom_site_occupancy
O1 O 0.494 0.677 0.816 1
O2 O 0.924 0.608 0.684 1
O3 O 0.759 0.076 0.684 1
O4 O 0.924 0.241 0.316 1
O5 O 0.861 0.677 0.184 1
O6 O 0.323 0.506 0.184 1
O7 O 0.392 0.076 0.316 1
O8 O 0.323 0.139 0.816 1
As1 As 0.750 0.250 0.500 1
As2 As 0.500 0.500 0.000 1
Mn1 Mn 0.250 0.750 0.500 1
Ce1 Ce 0.000 0.000 0.000 1
```

Values from the calculation:
The total magnetization comes out at 5.00 μB/f.u. As for the calculated density: 4.86 Mg/m³. The raw total energy comes out at -7.07 eV/atom. As for the space-group type: I-4m2 (119).